No. 1
VASP calculation (PBE-GGA) on an optimized crystal structure of Ce2PmTm.

Values from the calculation:
Its space group is Fm-3m. The value obtained for the excess energy over the best structure of this formula in the dataset is 0.153 eV per atom. The value obtained for the volume is 31.904 A^3/atom. The size of the total moment is 2.09 μB per formula unit. The formation energy comes out at 24.1 kJ per mole of atoms.

a = 5.651 Å, b = 5.651 Å, c = 5.651 Å
α = 60.00°, β = 60.00°, γ = 60.00°
Each line ends with the local moment (μB).
Atoms (fractional coordinates):
1 Tm 0.500 0.500 0.500  0.06
2 Ce 0.250 0.250 0.250  0.72
3 Ce 0.750 0.750 0.750  0.72
4 Pm 0.000 0.000 0.000  0.12

***

No. 2
VASP calculation (PBE-GGA) on an optimized crystal structure of CePmTm3.

Values from the calculation:
Its space group is P-1. The value obtained for the excess energy over the best structure of this formula in the dataset is 0.018 eV per atom. The value obtained for the volume is 31.021 A^3/atom. The size of the total moment is 1.16 μB per formula unit. The formation energy comes out at 6.2 kJ per mole of atoms.

a = 6.120 Å, b = 9.352 Å, c = 9.325 Å
α = 141.84°, β = 77.21°, γ = 109.45°
Each line ends with the local moment (μB).
Atoms (fractional coordinates):
1 Tm 0.853 0.704 0.753  0.04
2 Tm 0.243 0.499 0.752  0.06
3 Tm 0.147 0.296 0.247  0.04
4 Tm 0.757 0.501 0.248  0.06
5 Tm 0.649 0.302 0.752  0.08
6 Tm 0.351 0.698 0.248  0.08
7 Pm 0.548 0.100 0.253  0.01
8 Pm 0.452 0.900 0.747  0.01
9 Ce 0.953 0.904 0.259  0.74
10 Ce 0.047 0.096 0.741  0.74

***

No. 3
VASP calculation (PBE-GGA) on an optimized crystal structure of CePmTm4.

Values from the calculation:
Its space group is C2/m. The value obtained for the excess energy over the best structure of this formula in the dataset is 0.000 eV per atom. The value obtained for the volume is 30.676 A^3/atom. The size of the total moment is 0.73 μB per formula unit. The formation energy comes out at 2.1 kJ per mole of atoms.

a = 3.538 Å, b = 6.151 Å, c = 17.039 Å
α = 96.93°, β = 90.00°, γ = 90.00°
Each line ends with the local moment (μB).
Atoms (fractional coordinates):
1 Tm 0.001 0.386 0.168  -0.02
2 Tm 0.999 0.614 0.832  -0.02
3 Tm 0.499 0.386 0.668  -0.02
4 Tm 0.501 0.614 0.332  -0.02
5 Tm 0.499 0.109 0.833  -0.01
6 Tm 0.001 0.109 0.333  -0.01
7 Tm 0.501 0.891 0.167  -0.01
8 Tm 0.999 0.891 0.667  -0.01
9 Ce 0.000 0.000 0.000  0.65
10 Ce 0.500 0.000 0.500  0.65
11 Pm 0.000 0.500 0.500  0.00
12 Pm 0.500 0.500 0.000  0.00